# KTe4P | the Alexandria database | PBE | optimized geometry
data_KTe4P
_symmetry_space_group_name_H-M 'F -4 3 m'
_symmetry_Int_Tables_number 216
_symmetry_space_group_name_Hall 'F -4 2 3'
_cell_length_a 9.195
_cell_length_b 9.195
_cell_length_c 9.195
_cell_angle_alpha 90.00
_cell_angle_beta 90.00
_cell_angle_gamma 90.00
loop_
_atom_site_label
_atom_site_type_symbol
_atom_site_fract_x
_atom_site_fract_y
_atom_site_fract_z
K1 K 0.000 0.000 0.000
Te1 Te 0.124 0.124 0.376
P1 P 0.250 0.250 0.750
# Energy = -2.84 eV/atom
# Energy relative to the elements, uncorrected = 339 meV/atom